Below is a relaxed BeGaSN2 crystal, with properties calculated at the PBE-GGA level.

Unit cell a=3.3270 b=3.3270 c=6.2264 alpha=90.00 beta=90.00 gamma=90.00
Space group P4/mmm (No. 123)
Symmetry-distinct sites (fractional):
Be: 0.0000 0.0000 0.0000 x1
Ga: 0.5000 0.5000 0.5000 x1
S: 0.0000 0.0000 0.5000 x1
N: 0.0000 0.5000 0.0000 x2

Summary:
* formation energy from raw total energies: 0.849 eV/atom
* relative energy among the computed polymorphs: 0.000 eV/atom

Below is a relaxed BeGaSN2 crystal, with properties calculated at the PBE-GGA level.

Unit cell a=3.6754 b=3.6754 c=5.6297 alpha=90.00 beta=90.00 gamma=90.00
Space group P4/mmm (No. 123)
Symmetry-distinct sites (fractional):
Be: 0.0000 0.0000 0.0000 x1
Ga: 0.5000 0.5000 0.5000 x1
S: 0.5000 0.5000 0.0000 x1
N: 0.0000 0.5000 0.5000 x2

Summary:
* formation energy from raw total energies: 1.354 eV/atom
* relative energy among the computed polymorphs: 0.505 eV/atom

Below is a relaxed Sc2BeGaN crystal, with properties calculated at the PBE-GGA level.

Unit cell a=4.5600 b=4.5600 c=3.3999 alpha=90.00 beta=90.00 gamma=90.00
Space group P4/mmm (No. 123)
Symmetry-distinct sites (fractional):
Sc: 0.0000 0.5000 0.0000 x2
Be: 0.0000 0.0000 0.5000 x1
Ga: 0.5000 0.5000 0.5000 x1
N: 0.0000 0.0000 0.0000 x1

Summary:
* formation energy from raw total energies: -0.907 eV/atom

Below is a relaxed BeGaSeN2 crystal, with properties calculated at the PBE-GGA level.

Unit cell a=3.7029 b=3.7029 c=5.9787 alpha=90.00 beta=90.00 gamma=90.00
Space group P4/mmm (No. 123)
Symmetry-distinct sites (fractional):
Be: 0.0000 0.0000 0.0000 x1
Ga: 0.5000 0.5000 0.5000 x1
Se: 0.5000 0.5000 0.0000 x1
N: 0.0000 0.5000 0.5000 x2

Summary:
* formation energy from raw total energies: 1.304 eV/atom
* relative energy among the computed polymorphs: 0.334 eV/atom

Below is a relaxed BeGaSe2N crystal, with properties calculated at the PBE-GGA level.

Unit cell a=5.1639 b=5.1639 c=3.6036 alpha=90.00 beta=90.00 gamma=90.00
Space group P4/mmm (No. 123)
Symmetry-distinct sites (fractional):
Be: 0.0000 0.0000 0.0000 x1
Ga: 0.5000 0.5000 0.5000 x1
Se: 0.0000 0.5000 0.5000 x2
N: 0.5000 0.5000 0.0000 x1

Summary:
* formation energy from raw total energies: 0.990 eV/atom
* relative energy among the computed polymorphs: 0.661 eV/atom

Below is a relaxed BeGaSe2N crystal, with properties calculated at the PBE-GGA level.

Unit cell a=4.7117 b=4.7117 c=3.8425 alpha=90.00 beta=90.00 gamma=90.00
Space group P4/mmm (No. 123)
Symmetry-distinct sites (fractional):
Be: 0.0000 0.0000 0.0000 x1
Ga: 0.5000 0.5000 0.0000 x1
Se: 0.0000 0.5000 0.5000 x2
N: 0.5000 0.5000 0.5000 x1

Summary:
* formation energy from raw total energies: 0.884 eV/atom
* relative energy among the computed polymorphs: 0.555 eV/atom

Below is a relaxed BeGaSeN2 crystal, with properties calculated at the PBE-GGA level.

Unit cell a=3.5004 b=3.5004 c=5.7941 alpha=90.00 beta=90.00 gamma=90.00
Space group P4/mmm (No. 123)
Symmetry-distinct sites (fractional):
Be: 0.0000 0.0000 0.0000 x1
Ga: 0.5000 0.5000 0.5000 x1
Se: 0.0000 0.0000 0.5000 x1
N: 0.0000 0.5000 0.0000 x2

Summary:
* formation energy from raw total energies: 0.971 eV/atom
* relative energy among the computed polymorphs: 0.000 eV/atom

Below is a relaxed BeGaSe2N crystal, with properties calculated at the PBE-GGA level.

Unit cell a=5.3046 b=5.3046 c=3.0225 alpha=90.00 beta=90.00 gamma=90.00
Space group P4/mmm (No. 123)
Symmetry-distinct sites (fractional):
Be: 0.0000 0.0000 0.0000 x1
Ga: 0.5000 0.5000 0.5000 x1
Se: 0.0000 0.5000 0.0000 x2
N: 0.0000 0.0000 0.5000 x1

Summary:
* formation energy from raw total energies: 0.329 eV/atom
* relative energy among the computed polymorphs: 0.000 eV/atom

Below is a relaxed TaBe2GaN crystal, with properties calculated at the PBE-GGA level.

Unit cell a=4.6744 b=4.6744 c=5.1582 alpha=90.00 beta=90.00 gamma=90.00
Space group P4/mmm (No. 123)
Symmetry-distinct sites (fractional):
Ta: 0.0000 0.0000 0.0000 x1
Be: 0.0000 0.5000 0.0000 x2
Ga: 0.0000 0.0000 0.5000 x1
N: 0.5000 0.5000 0.5000 x1

Summary:
* formation energy from raw total energies: 2.400 eV/atom

Below is a relaxed BeGaTeN2 crystal, with properties calculated at the PBE-GGA level.

Unit cell a=3.7004 b=3.7004 c=5.4047 alpha=90.00 beta=90.00 gamma=90.00
Space group P4/mmm (No. 123)
Symmetry-distinct sites (fractional):
Be: 0.0000 0.0000 0.0000 x1
Ga: 0.5000 0.5000 0.5000 x1
Te: 0.0000 0.0000 0.5000 x1
N: 0.0000 0.5000 0.0000 x2

Summary:
* formation energy from raw total energies: 1.204 eV/atom
* relative energy among the computed polymorphs: 0.000 eV/atom

Below is a relaxed BeGaTe2N crystal, with properties calculated at the PBE-GGA level.

Unit cell a=5.6913 b=5.6913 c=3.4878 alpha=90.00 beta=90.00 gamma=90.00
Space group P4/mmm (No. 123)
Symmetry-distinct sites (fractional):
Be: 0.0000 0.0000 0.0000 x1
Ga: 0.5000 0.5000 0.5000 x1
Te: 0.0000 0.5000 0.5000 x2
N: 0.5000 0.5000 0.0000 x1

Summary:
* formation energy from raw total energies: 0.983 eV/atom
* relative energy among the computed polymorphs: 0.714 eV/atom

Below is a relaxed BeGaTeN2 crystal, with properties calculated at the PBE-GGA level.

Unit cell a=3.7562 b=3.7562 c=6.5318 alpha=90.00 beta=90.00 gamma=90.00
Space group P4/mmm (No. 123)
Symmetry-distinct sites (fractional):
Be: 0.0000 0.0000 0.0000 x1
Ga: 0.5000 0.5000 0.5000 x1
Te: 0.5000 0.5000 0.0000 x1
N: 0.0000 0.5000 0.5000 x2

Summary:
* formation energy from raw total energies: 1.339 eV/atom
* relative energy among the computed polymorphs: 0.136 eV/atom